No. 1
CrAsSBr2 | GGA-PBE | relaxed

Unit cell a=4.6548 b=4.6548 c=5.0768 alpha=90.00 beta=90.00 gamma=90.00
Fractional positions:
Cr 0.0000 0.0000 0.0000
As 0.0000 0.0000 0.5000
S 0.5000 0.5000 0.5000
Br 0.0000 0.5000 0.0000
Br 0.5000 0.0000 0.0000

Values from the calculation:
E_tot = -3.7993 eV per atom
SG = P4/mmm (123)
magnetic moment = 0.0 μB per formula unit
polymorph energy (0 for the lowest one) = 0.000 eV per atom
energy relative to the elements, uncorrected = 550 meV per atom

No. 2
CrAs2SBr | GGA-PBE | relaxed

Unit cell a=4.8171 b=4.8171 c=5.1999 alpha=90.00 beta=90.00 gamma=90.00
Fractional positions:
Cr 0.0000 0.0000 0.0000
As 0.0000 0.5000 0.5000
As 0.5000 0.0000 0.5000
S 0.5000 0.5000 0.5000
Br 0.5000 0.5000 0.0000

Values from the calculation:
E_tot = -4.0756 eV per atom
SG = P4/mmm (123)
magnetic moment = 3.4 μB per formula unit
polymorph energy (0 for the lowest one) = 0.333 eV per atom
energy relative to the elements, uncorrected = 869 meV per atom

No. 3
CrAsSBr2 | GGA-PBE | relaxed

Unit cell a=5.2208 b=5.2208 c=4.9048 alpha=90.00 beta=90.00 gamma=90.00
Fractional positions:
Cr 0.0000 0.0000 0.0000
As 0.5000 0.5000 0.0000
S 0.5000 0.5000 0.5000
Br 0.0000 0.5000 0.5000
Br 0.5000 0.0000 0.5000

Values from the calculation:
E_tot = -3.5904 eV per atom
SG = P4/mmm (123)
magnetic moment = 3.7 μB per formula unit
polymorph energy (0 for the lowest one) = 0.209 eV per atom
energy relative to the elements, uncorrected = 759 meV per atom

No. 4
CrAs2SBr | GGA-PBE | relaxed

Unit cell a=4.7326 b=4.7326 c=4.6097 alpha=90.00 beta=90.00 gamma=90.00
Fractional positions:
Cr 0.0000 0.0000 0.0000
As 0.0000 0.5000 0.0000
As 0.5000 0.0000 0.0000
S 0.5000 0.5000 0.5000
Br 0.0000 0.0000 0.5000

Values from the calculation:
E_tot = -4.4085 eV per atom
SG = P4/mmm (123)
magnetic moment = 0.0 μB per formula unit
polymorph energy (0 for the lowest one) = 0.000 eV per atom
energy relative to the elements, uncorrected = 536 meV per atom

No. 5
CrSbAs2Br | GGA-PBE | relaxed

Unit cell a=4.8902 b=4.8902 c=4.8859 alpha=90.00 beta=90.00 gamma=90.00
Fractional positions:
Cr 0.0000 0.0000 0.0000
Sb 0.5000 0.5000 0.5000
As 0.0000 0.5000 0.0000
As 0.5000 0.0000 0.0000
Br 0.0000 0.0000 0.5000

Values from the calculation:
E_tot = -4.5907 eV per atom
SG = P4/mmm (123)
magnetic moment = 2.6 μB per formula unit
polymorph energy (0 for the lowest one) = 0.000 eV per atom
energy relative to the elements, uncorrected = 353 meV per atom

No. 6
CrSbAsBr2 | GGA-PBE | relaxed

Unit cell a=4.9117 b=4.9117 c=5.2530 alpha=90.00 beta=90.00 gamma=90.00
Fractional positions:
Cr 0.0000 0.0000 0.0000
Sb 0.5000 0.5000 0.5000
As 0.0000 0.0000 0.5000
Br 0.0000 0.5000 0.0000
Br 0.5000 0.0000 0.0000

Values from the calculation:
E_tot = -4.1612 eV per atom
SG = P4/mmm (123)
magnetic moment = 3.5 μB per formula unit
polymorph energy (0 for the lowest one) = 0.000 eV per atom
energy relative to the elements, uncorrected = 187 meV per atom

No. 7
CrAs2SeBr | GGA-PBE | relaxed

Unit cell a=4.7903 b=4.7903 c=4.5840 alpha=90.00 beta=90.00 gamma=90.00
Fractional positions:
Cr 0.0000 0.0000 0.0000
As 0.0000 0.5000 0.0000
As 0.5000 0.0000 0.0000
Se 0.0000 0.0000 0.5000
Br 0.5000 0.5000 0.5000

Values from the calculation:
E_tot = -4.5759 eV per atom
SG = P4/mmm (123)
magnetic moment = 0.0 μB per formula unit
polymorph energy (0 for the lowest one) = 0.000 eV per atom
energy relative to the elements, uncorrected = 240 meV per atom

No. 8
CrAsSeBr2 | GGA-PBE | relaxed

Unit cell a=5.2375 b=5.2375 c=5.2167 alpha=90.00 beta=90.00 gamma=90.00
Fractional positions:
Cr 0.0000 0.0000 0.0000
As 0.5000 0.5000 0.5000
Se 0.5000 0.5000 0.0000
Br 0.0000 0.5000 0.5000
Br 0.5000 0.0000 0.5000

Values from the calculation:
E_tot = -3.8337 eV per atom
SG = P4/mmm (123)
magnetic moment = 4.9 μB per formula unit
polymorph energy (0 for the lowest one) = 0.159 eV per atom
energy relative to the elements, uncorrected = 387 meV per atom

No. 9
CrAsSeBr2 | GGA-PBE | relaxed

Unit cell a=4.6803 b=4.6803 c=5.1428 alpha=90.00 beta=90.00 gamma=90.00
Fractional positions:
Cr 0.0000 0.0000 0.0000
As 0.0000 0.0000 0.5000
Se 0.5000 0.5000 0.5000
Br 0.0000 0.5000 0.0000
Br 0.5000 0.0000 0.0000

Values from the calculation:
E_tot = -3.7876 eV per atom
SG = P4/mmm (123)
magnetic moment = 0.0 μB per formula unit
polymorph energy (0 for the lowest one) = 0.205 eV per atom
energy relative to the elements, uncorrected = 433 meV per atom

No. 10
CrAs2SeBr | GGA-PBE | relaxed

Unit cell a=4.7887 b=4.7887 c=4.6271 alpha=90.00 beta=90.00 gamma=90.00
Fractional positions:
Cr 0.0000 0.0000 0.0000
As 0.0000 0.5000 0.0000
As 0.5000 0.0000 0.0000
Se 0.5000 0.5000 0.5000
Br 0.0000 0.0000 0.5000

Values from the calculation:
E_tot = -4.3810 eV per atom
SG = P4/mmm (123)
magnetic moment = 0.1 μB per formula unit
polymorph energy (0 for the lowest one) = 0.195 eV per atom
energy relative to the elements, uncorrected = 435 meV per atom

No. 11
CrAs2SeBr | GGA-PBE | relaxed

Unit cell a=5.0587 b=5.0587 c=5.0508 alpha=90.00 beta=90.00 gamma=90.00
Fractional positions:
Cr 0.0000 0.0000 0.0000
As 0.0000 0.5000 0.5000
As 0.5000 0.0000 0.5000
Se 0.5000 0.5000 0.5000
Br 0.5000 0.5000 0.0000

Values from the calculation:
E_tot = -3.3904 eV per atom
SG = P4/mmm (123)
magnetic moment = 0.2 μB per formula unit
polymorph energy (0 for the lowest one) = 1.186 eV per atom
energy relative to the elements, uncorrected = 1426 meV per atom

No. 12
CrAs2SeBr | GGA-PBE | relaxed

Unit cell a=5.0276 b=5.0276 c=5.0637 alpha=90.00 beta=90.00 gamma=90.00
Fractional positions:
Cr 0.0000 0.0000 0.0000
As 0.0000 0.5000 0.5000
As 0.5000 0.0000 0.5000
Se 0.5000 0.5000 0.0000
Br 0.5000 0.5000 0.5000

Values from the calculation:
E_tot = -3.1032 eV per atom
SG = P4/mmm (123)
magnetic moment = 0.6 μB per formula unit
polymorph energy (0 for the lowest one) = 1.473 eV per atom
energy relative to the elements, uncorrected = 1713 meV per atom